# BaAsPtBr2 (PBE, relaxed)
# ΔE_f (raw), eV per atom: -0.7558
# Fermi-level density of states, states/eV/f.u.: 1.3
data_BaAsPtBr2
_chemical_formula_sum 'Ba1 As1 Pt1 Br2'
_cell_length_a 5.747
_cell_length_b 5.747
_cell_length_c 4.654
_cell_angle_alpha 90.00
_cell_angle_beta 90.00
_cell_angle_gamma 90.00
_symmetry_space_group_name_H-M 'P 4/m m m'
_symmetry_Int_Tables_number 123
_symmetry_space_group_name_Hall '-P 4 2'
loop_
_atom_site_label
_atom_site_fract_x
_atom_site_fract_y
_atom_site_fract_z
Ba1 0.000 0.000 0.000
As1 0.500 0.500 0.500
Pt1 0.500 0.500 0.000
Br1 0.000 0.500 0.500

# Ca2NiAg (PBE, relaxed)
# Fermi-level density of states, states/eV/f.u.: 2.4
# Formation enthalpy at 0 K, meV/atom: -116
data_Ca2NiAg
_chemical_formula_sum 'Ca4 Ni2 Ag2'
_cell_length_a 7.129
_cell_length_b 7.156
_cell_length_c 3.613
_cell_angle_alpha 90.00
_cell_angle_beta 90.00
_cell_angle_gamma 90.00
_symmetry_space_group_name_H-M 'C m m m'
_symmetry_Int_Tables_number 65
_symmetry_space_group_name_Hall '-C 2 2'
loop_
_atom_site_label
_atom_site_fract_x
_atom_site_fract_y
_atom_site_fract_z
Ca1 0.250 0.250 0.000
Ni1 0.000 0.000 0.500
Ag1 0.000 0.500 0.500

# TlTeMo3 (PBE, relaxed)
# ΔE_f (raw), eV per atom: 1.7328
# Fermi-level density of states, states/eV/f.u.: 5.0
data_TlTeMo3
_chemical_formula_sum 'Tl1 Te1 Mo3'
_cell_length_a 4.914
_cell_length_b 4.914
_cell_length_c 4.914
_cell_angle_alpha 90.00
_cell_angle_beta 90.00
_cell_angle_gamma 90.00
_symmetry_space_group_name_H-M 'P m -3 m'
_symmetry_Int_Tables_number 221
_symmetry_space_group_name_Hall '-P 4 2 3'
loop_
_atom_site_label
_atom_site_fract_x
_atom_site_fract_y
_atom_site_fract_z
Tl1 0.000 0.000 0.000
Te1 0.500 0.500 0.500
Mo1 0.000 0.500 0.500

# KBa2SbBr8 (PBE, relaxed)
# ΔE_f (raw), eV per atom: -1.5509
# Fermi-level density of states, states/eV/f.u.: 0.0
data_KBa2SbBr8
_chemical_formula_sum 'K1 Ba2 Sb1 Br8'
_cell_length_a 7.124
_cell_length_b 9.853
_cell_length_c 7.255
_cell_angle_alpha 90.00
_cell_angle_beta 90.64
_cell_angle_gamma 90.00
_symmetry_space_group_name_H-M 'P 1 2/m 1'
_symmetry_Int_Tables_number 10
_symmetry_space_group_name_Hall '-P 2y'
loop_
_atom_site_label
_atom_site_fract_x
_atom_site_fract_y
_atom_site_fract_z
K1 0.000 0.000 0.000
Ba1 0.500 0.251 0.500
Sb1 0.000 0.500 0.000
Br1 0.227 0.289 0.858
Br2 0.232 0.500 0.328
Br3 0.262 0.000 0.358

# BaHfO2F (PBE, relaxed)
# ΔE_f (raw), eV per atom: -0.5706
# Fermi-level density of states, states/eV/f.u.: 6.0
data_BaHfO2F
_chemical_formula_sum 'Ba1 Hf1 O2 F1'
_cell_length_a 4.887
_cell_length_b 4.887
_cell_length_c 4.688
_cell_angle_alpha 90.00
_cell_angle_beta 90.00
_cell_angle_gamma 90.00
_symmetry_space_group_name_H-M 'P 4/m m m'
_symmetry_Int_Tables_number 123
_symmetry_space_group_name_Hall '-P 4 2'
loop_
_atom_site_label
_atom_site_fract_x
_atom_site_fract_y
_atom_site_fract_z
Ba1 0.000 0.000 0.000
Hf1 0.500 0.500 0.500
O1 0.000 0.500 0.000
F1 0.000 0.000 0.500

# Cs2RbLiI4 (PBE, relaxed)
# ΔE_f (raw), eV per atom: -1.3769
# Fermi-level density of states, states/eV/f.u.: 0.0
data_Cs2RbLiI4
_chemical_formula_sum 'Cs8 Rb4 Li4 I16'
_cell_length_a 14.504
_cell_length_b 14.535
_cell_length_c 10.476
_cell_angle_alpha 90.00
_cell_angle_beta 133.06
_cell_angle_gamma 90.00
_symmetry_space_group_name_H-M 'C 1 2/c 1'
_symmetry_Int_Tables_number 15
_symmetry_space_group_name_Hall '-C 2yc'
loop_
_atom_site_label
_atom_site_fract_x
_atom_site_fract_y
_atom_site_fract_z
Cs1 0.000 0.000 0.000
Cs2 0.250 0.250 0.000
Rb1 0.000 0.500 0.000
Li1 0.250 0.250 0.500
I1 0.040 0.254 0.507
I2 0.241 0.469 0.492